(1)
# HgHSBr | Alexandria | GGA-PBE | optimized geometry
data_HgHSBr
_chemical_formula_sum 'Hg2 H2 S2 Br2'
_cell_length_a 8.561
_cell_length_b 4.153
_cell_length_c 7.439
_cell_angle_alpha 90.00
_cell_angle_beta 123.82
_cell_angle_gamma 90.00
_space_group_name_H-M_alt 'C 1 m 1'
_space_group_IT_number 8
loop_
_space_group_symop_operation_xyz
'x,y,z'
'x,-y,z'
'x+1/2,y+1/2,z'
'x+1/2,-y+1/2,z'
loop_
_atom_site_label
_atom_site_fract_x
_atom_site_fract_y
_atom_site_fract_z
Hg1 0.000 0.000 0.000
H1 0.309 0.000 0.638
S1 0.301 0.000 0.816
Br1 0.343 0.000 0.325
# E_tot ... -2.610 eV/atom
# Calculated density ... 4739 kg/m3
# Calculated volume ... 219.7 Å³ per cell

***

(2)
# CdSn2Hg2 | Alexandria | GGA-PBE | optimized geometry
data_CdSn2Hg2
_chemical_formula_sum 'Cd2 Sn4 Hg4'
_cell_length_a 4.348
_cell_length_b 4.348
_cell_length_c 14.870
_cell_angle_alpha 90.00
_cell_angle_beta 90.00
_cell_angle_gamma 90.00
_space_group_name_H-M_alt 'I 4/m m m'
_space_group_IT_number 139
_space_group_name_Hall '-I 4 2'
loop_
_atom_site_label
_atom_site_fract_x
_atom_site_fract_y
_atom_site_fract_z
Cd1 0.000 0.000 0.000
Sn1 0.000 0.000 0.399
Hg1 0.000 0.500 0.250
# E_tot ... -1.745 eV/atom
# Polymorph energy (0 for the lowest one) ... 0.1059 eV per atom
# Calculated density ... 8874 kg/m3
# Calculated volume ... 281.1 Å³ per cell
# E_form ... 0.16 eV/atom

***

(3)
# LaErBeZn | Alexandria | GGA-PBE | optimized geometry
data_LaErBeZn
_chemical_formula_sum 'La4 Er4 Be4 Zn4'
_cell_length_a 7.161
_cell_length_b 7.161
_cell_length_c 7.161
_cell_angle_alpha 90.00
_cell_angle_beta 90.00
_cell_angle_gamma 90.00
_space_group_name_H-M_alt 'F -4 3 m'
_space_group_IT_number 216
_space_group_name_Hall 'F -4 2 3'
loop_
_atom_site_label
_atom_site_fract_x
_atom_site_fract_y
_atom_site_fract_z
La1 0.000 0.000 0.000
Er1 0.000 0.000 0.500
Be1 0.250 0.250 0.250
Zn1 0.250 0.250 0.750
# E_tot ... -3.671 eV/atom
# Calculated density ... 6885 kg/m3
# Calculated volume ... 367.1 Å³ per cell
# E_form ... -0.05 eV/atom

***

(4)
# Tl2In2HgCl6 | Alexandria | GGA-PBE | optimized geometry
data_Tl2In2HgCl6
_chemical_formula_sum 'Tl2 In2 Hg1 Cl6'
_cell_length_a 5.855
_cell_length_b 8.889
_cell_length_c 9.165
_cell_angle_alpha 116.76
_cell_angle_beta 105.64
_cell_angle_gamma 94.65
_space_group_name_H-M_alt 'P -1'
_space_group_IT_number 2
loop_
_space_group_symop_operation_xyz
'x,y,z'
'-x,-y,-z'
loop_
_atom_site_label
_atom_site_fract_x
_atom_site_fract_y
_atom_site_fract_z
Tl1 0.178 0.055 0.304
In1 0.371 0.628 0.052
Hg1 0.500 0.500 0.500
Cl1 0.100 0.651 0.224
Cl2 0.214 0.788 0.905
Cl3 0.334 0.093 0.683
# E_tot ... -2.877 eV/atom
# Calculated density ... 4381 kg/m3
# Formation energy (no corrections) ... -0.91 eV per atom
# Calculated volume ... 398.6 Å³ per cell

***

(5)
# AgSn3H | Alexandria | GGA-PBE | optimized geometry
data_AgSn3H
_chemical_formula_sum 'Ag1 Sn3 H1'
_cell_length_a 4.719
_cell_length_b 4.719
_cell_length_c 4.719
_cell_angle_alpha 90.00
_cell_angle_beta 90.00
_cell_angle_gamma 90.00
_space_group_name_H-M_alt 'P m -3 m'
_space_group_IT_number 221
_space_group_name_Hall '-P 4 2 3'
loop_
_atom_site_label
_atom_site_fract_x
_atom_site_fract_y
_atom_site_fract_z
Ag1 0.000 0.000 0.000
Sn1 0.000 0.500 0.500
H1 0.500 0.500 0.500
# E_tot ... -3.357 eV/atom
# Calculated density ... 7347 kg/m3
# Calculated volume ... 105.1 Å³ per cell

***

(6)
# NbReRh2O | Alexandria | GGA-PBE | optimized geometry
data_NbReRh2O
_chemical_formula_sum 'Nb1 Re1 Rh2 O1'
_cell_length_a 4.237
_cell_length_b 4.237
_cell_length_c 3.941
_cell_angle_alpha 90.00
_cell_angle_beta 90.00
_cell_angle_gamma 90.00
_space_group_name_H-M_alt 'P 4/m m m'
_space_group_IT_number 123
_space_group_name_Hall '-P 4 2'
loop_
_atom_site_label
_atom_site_fract_x
_atom_site_fract_y
_atom_site_fract_z
Nb1 0.000 0.000 0.000
Re1 0.500 0.500 0.000
Rh1 0.000 0.500 0.500
O1 0.500 0.500 0.500
# E_tot ... -8.406 eV/atom
# Calculated density ... 11761 kg/m3
# Formation energy (no corrections) ... 0.03 eV per atom
# Calculated volume ... 70.7 Å³ per cell

***

(7)
# RuPbW | Alexandria | GGA-PBE | optimized geometry
data_RuPbW
_chemical_formula_sum 'Ru2 Pb2 W2'
_cell_length_a 3.108
_cell_length_b 3.108
_cell_length_c 11.967
_cell_angle_alpha 90.00
_cell_angle_beta 90.00
_cell_angle_gamma 90.00
_space_group_name_H-M_alt 'I 4 m m'
_space_group_IT_number 107
_space_group_name_Hall 'I 4 -2'
loop_
_atom_site_label
_atom_site_fract_x
_atom_site_fract_y
_atom_site_fract_z
Ru1 0.000 0.000 0.000
Pb1 0.000 0.000 0.695
W1 0.000 0.000 0.389
# E_tot ... -8.132 eV/atom
# Calculated density ... 14141 kg/m3
# Calculated volume ... 115.6 Å³ per cell
# E_form ... 0.51 eV/atom

***

(8)
# Ac2ErBePd6 | Alexandria | GGA-PBE | optimized geometry
data_Ac2ErBePd6
_chemical_formula_sum 'Ac4 Er2 Be2 Pd12'
_cell_length_a 10.521
_cell_length_b 6.069
_cell_length_c 7.838
_cell_angle_alpha 90.00
_cell_angle_beta 116.77
_cell_angle_gamma 90.00
_space_group_name_H-M_alt 'C 1 2/m 1'
_space_group_IT_number 12
loop_
_space_group_symop_operation_xyz
'x,y,z'
'-x,-y,-z'
'-x,y,-z'
'x,-y,z'
'x+1/2,y+1/2,z'
'-x+1/2,-y+1/2,-z'
'-x+1/2,y+1/2,-z'
'x+1/2,-y+1/2,z'
loop_
_atom_site_label
_atom_site_fract_x
_atom_site_fract_y
_atom_site_fract_z
Ac1 0.248 0.000 0.245
Er1 0.000 0.000 0.500
Be1 0.000 0.500 0.000
Pd1 0.025 0.241 0.818
Pd2 0.234 0.500 0.180
# E_tot ... -5.411 eV/atom
# Calculated density ... 9431 kg/m3
# Calculated volume ... 446.8 Å³ per cell
# E_form ... -0.64 eV/atom